(1)
Here is a geometry-optimized LaPm8Tm4 structure from the Alexandria database. Energies are from PBE-GGA.

The structure in extended XYZ format:
```
13
Lattice="6.478 0.000 -3.495 -4.182 6.058 0.000 1.265 0.874 10.097" Properties=species:S:1:pos:R:3 pbc="T T T"
Pm -2.648 5.094 2.842
La -1.458 3.466 5.048
Pm 0.813 5.033 1.505
Pm 2.749 1.898 5.096
Pm 6.210 1.838 3.759
Tm 1.148 3.029 -1.748
Pm -0.358 1.776 2.842
Tm 3.239 0.000 -1.748
Pm 0.990 5.156 5.340
Tm 0.000 0.000 0.000
Pm 3.920 5.156 3.759
Pm 2.572 1.776 1.262
Tm -2.091 3.029 0.000
```

Results
calculated volume: 33.52 A^3/atom
final energy: -4.5081 eV/atom


(2)
Here is a geometry-optimized La4PmTm structure from the Alexandria database. Energies are from PBE-GGA.

The structure in extended XYZ format:
```
12
Lattice="-6.822 -5.715 4.758 4.022 -4.206 0.713 -2.090 7.066 5.491" Properties=species:S:1:pos:R:3 pbc="T T T"
La -0.770 0.291 6.251
Tm 0.000 0.000 0.000
La -3.096 -1.657 7.867
La -6.227 -0.493 8.291
Pm -4.456 0.675 5.125
La -1.726 3.278 5.158
Tm -1.400 -4.961 2.736
La -1.795 -1.198 3.095
La -3.165 -6.133 5.804
La -4.120 -3.146 4.711
Pm 0.966 1.430 3.102
La 1.336 -2.363 2.671
```

Results
calculated volume: 35.00 A^3/atom
offset from the most stable computed form: 0 meV/atom


(3)
Here is a geometry-optimized LaPm7Tm3 structure from the Alexandria database. Energies are from PBE-GGA.

The structure in extended XYZ format:
```
11
Lattice="-2.186 -1.803 8.176 -5.597 -3.868 -2.349 6.387 -3.160 1.011" Properties=species:S:1:pos:R:3 pbc="T T T"
Pm -1.872 -3.854 -0.221
Tm -1.327 -4.929 5.743
Tm -4.115 -6.855 4.573
Tm -4.509 -3.355 5.239
Pm 1.358 -5.402 0.157
Pm -1.806 -2.649 3.130
Pm -4.594 -4.576 1.960
La 1.429 -4.191 3.496
Pm 4.150 -3.472 1.329
Pm -1.412 -6.150 2.464
Pm 0.964 -1.895 0.825
```

Results
calculated volume: 35.29 A^3/atom
offset from the most stable computed form: 76 meV/atom


(4)
Here is a geometry-optimized La2Pm12Tm5 structure from the Alexandria database. Energies are from PBE-GGA.

The structure in extended XYZ format:
```
19
Lattice="9.385 0.000 0.000 -4.693 10.618 -0.673 0.000 0.497 6.552" Properties=species:S:1:pos:R:3 pbc="T T T"
Pm 1.746 3.187 3.747
Pm 7.639 3.187 3.747
Pm 4.693 1.440 2.170
Tm 4.693 2.454 5.453
Pm -1.600 6.657 5.048
Pm 4.693 8.157 5.507
Tm 0.000 5.781 2.001
Tm 0.000 8.661 0.425
La 1.879 0.000 0.000
Tm 4.693 5.334 3.877
Pm 2.947 7.928 2.131
Pm 1.600 6.657 5.048
Pm 0.000 9.675 3.708
Pm 3.093 4.458 0.830
Pm 6.292 4.458 0.830
Pm 0.000 2.958 0.372
Tm 0.000 0.248 3.276
La 7.506 0.000 0.000
Pm -2.947 7.928 2.131
```

Results
calculated volume: 34.53 A^3/atom
offset from the most stable computed form: 8 meV/atom


(5)
Here is a geometry-optimized LaPm2Tm4 structure from the Alexandria database. Energies are from PBE-GGA.

The structure in extended XYZ format:
```
14
Lattice="-6.090 -4.047 6.934 -1.993 -6.428 -5.134 7.388 3.187 4.055" Properties=species:S:1:pos:R:3 pbc="T T T"
Tm 0.194 -4.490 2.896
Tm -2.202 -5.258 0.502
Tm 0.759 0.021 2.601
Tm -1.074 -4.928 5.813
Tm -1.735 -7.439 3.146
La 2.692 -2.780 0.696
Tm -5.383 -7.463 4.026
Pm 4.611 0.045 1.905
Tm -4.063 -3.578 6.605
Pm -1.777 -1.687 4.991
Pm 1.563 -2.265 5.211
Tm 3.067 0.827 4.915
La -0.631 -2.157 0.269
Pm -3.609 -4.433 3.528
```

Results
calculated volume: 33.22 A^3/atom
offset from the most stable computed form: 0 meV/atom


(6)
Here is a geometry-optimized La6Pm3Tm2 structure from the Alexandria database. Energies are from PBE-GGA.

The structure in extended XYZ format:
```
11
Lattice="4.628 0.000 0.284 2.305 4.013 0.284 1.032 0.597 21.038" Properties=species:S:1:pos:R:3 pbc="T T T"
La 4.492 2.600 2.488
La 1.389 0.804 15.224
Tm 3.816 2.209 13.506
Tm 4.148 2.401 8.100
La 6.254 3.620 11.624
La 6.576 3.806 6.382
Pm 2.055 1.189 4.363
La 3.472 2.010 19.118
Pm 5.910 3.420 17.244
La 1.710 0.990 9.982
Pm 0.000 0.000 0.000
```

Results
calculated volume: 35.37 A^3/atom
final energy: -4.2053 eV/atom


(7)
Here is a geometry-optimized La4Pm7Tm structure from the Alexandria database. Energies are from PBE-GGA.

The structure in extended XYZ format:
```
12
Lattice="6.121 0.000 0.000 3.061 11.613 -0.372 3.061 0.131 6.108" Properties=species:S:1:pos:R:3 pbc="T T T"
Pm 3.061 0.954 3.010
Pm 6.121 5.859 4.524
Tm 0.000 0.000 0.000
Pm 3.061 0.000 0.000
La 6.121 2.635 2.942
La 3.061 3.945 1.282
Pm 9.182 3.666 4.988
Pm 9.182 10.790 2.726
Pm 3.061 8.079 0.748
Pm 6.121 5.885 1.212
La 6.121 9.110 2.794
La 9.182 7.799 4.454
```

Results
calculated volume: 36.21 A^3/atom
offset from the most stable computed form: 214 meV/atom


(8)
Here is a geometry-optimized La3Pm5Tm3 structure from the Alexandria database. Energies are from PBE-GGA.

The structure in extended XYZ format:
```
11
Lattice="3.452 0.000 0.000 0.000 9.887 -5.708 0.000 0.000 11.417" Properties=species:S:1:pos:R:3 pbc="T T T"
La 0.000 0.000 6.828
Tm 1.726 0.000 9.617
Tm 1.726 1.558 0.900
Pm 1.726 6.574 3.796
La 0.000 5.913 -3.414
Tm 1.726 8.329 -4.809
Pm 1.726 3.313 -1.913
La 0.000 3.974 2.294
Pm 1.726 6.591 0.000
Pm 1.726 3.296 5.708
Pm 1.726 0.000 3.825
```

Results
calculated volume: 35.43 A^3/atom
final energy: -4.3943 eV/atom


(9)
Here is a geometry-optimized La8Pm2Tm3 structure from the Alexandria database. Energies are from PBE-GGA.

The structure in extended XYZ format:
```
13
Lattice="5.993 0.248 1.249 1.843 8.678 1.547 0.686 -0.680 8.954" Properties=species:S:1:pos:R:3 pbc="T T T"
La 2.713 6.880 9.117
La 3.499 2.973 9.279
Tm 0.981 1.707 7.065
La 5.784 3.744 5.634
La 5.810 1.366 2.633
Tm 1.548 6.292 3.436
La 2.739 4.502 6.116
La 4.092 7.770 5.482
Pm 5.750 5.774 8.194
Pm 2.773 2.471 3.556
Tm 2.997 0.124 0.624
La 5.024 5.273 2.472
La 4.431 0.475 6.269
```

Results
calculated volume: 35.32 A^3/atom
offset from the most stable computed form: 0 meV/atom


(10)
Here is a geometry-optimized La6PmTm4 structure from the Alexandria database. Energies are from PBE-GGA.

The structure in extended XYZ format:
```
11
Lattice="3.606 0.000 0.000 0.000 11.171 0.000 0.000 -5.586 9.675" Properties=species:S:1:pos:R:3 pbc="T T T"
Tm 0.000 0.000 6.450
La 0.000 5.586 0.524
La 1.803 2.527 7.909
La 0.000 3.247 4.575
La 1.803 0.000 3.532
La 1.803 -2.527 7.909
Tm 1.803 2.672 1.543
Pm 0.000 0.000 0.000
Tm 1.803 5.586 6.589
Tm 1.803 8.499 1.543
La 0.000 7.924 4.575
```

Results
calculated volume: 35.43 A^3/atom
offset from the most stable computed form: 44 meV/atom


(11)
Here is a geometry-optimized LaPm8Tm3 structure from the Alexandria database. Energies are from PBE-GGA.

The structure in extended XYZ format:
```
12
Lattice="3.267 0.776 -1.430 1.563 9.560 -0.582 0.530 5.011 13.236" Properties=species:S:1:pos:R:3 pbc="T T T"
Tm 3.894 8.647 0.393
Pm 3.794 11.452 10.995
Pm 3.400 6.378 7.355
Pm 2.702 4.129 4.555
La 1.956 8.516 9.869
Tm 3.154 5.257 10.845
Pm 4.040 12.584 7.513
Pm 2.453 10.746 2.893
Pm 1.176 2.358 0.098
Pm 3.629 7.522 3.841
Pm 2.195 9.668 6.377
Tm 2.980 5.294 1.154
```

Results
calculated volume: 33.56 A^3/atom
final energy: -4.6917 eV/atom


(12)
Here is a geometry-optimized La5Pm2Tm2 structure from the Alexandria database. Energies are from PBE-GGA.

The structure in extended XYZ format:
```
18
Lattice="-4.046 5.794 10.882 1.456 -5.206 3.313 8.332 2.419 -5.926" Properties=species:S:1:pos:R:3 pbc="T T T"
Pm 2.333 -1.338 2.362
La 0.865 5.023 8.033
La -0.976 0.268 10.367
La -2.086 3.418 9.739
La 1.405 0.262 5.294
Tm 1.299 -4.646 2.956
La 7.201 1.833 -2.898
Pm 3.271 4.841 5.592
Pm 5.612 -0.074 2.908
La 7.546 -0.222 -0.213
La 5.002 -2.462 0.520
Pm -0.009 3.576 5.046
La 4.383 1.410 5.790
Tm -1.452 0.855 6.741
La 1.223 2.083 2.170
Tm 2.016 1.883 8.389
La 4.201 3.232 2.666
Tm 3.786 0.910 0.016
```

Results
calculated volume: 34.88 A^3/atom
offset from the most stable computed form: 137 meV/atom


(13)
Here is a geometry-optimized LaPm7Tm4 structure from the Alexandria database. Energies are from PBE-GGA.

The structure in extended XYZ format:
```
12
Lattice="6.435 -1.904 2.793 0.746 5.830 2.254 2.771 -2.321 10.951" Properties=species:S:1:pos:R:3 pbc="T T T"
Pm 4.577 2.347 9.962
Pm 5.374 -0.742 6.036
Tm 5.851 -1.048 9.554
Pm 5.161 1.495 3.226
Tm 2.149 0.178 4.631
La 0.000 0.000 0.000
Tm 7.803 1.427 11.366
Pm 3.217 -0.952 1.396
Pm 7.361 1.666 7.869
Tm 4.101 2.653 6.443
Pm 4.791 0.111 12.771
Pm 2.591 -0.061 8.128
```

Results
calculated volume: 33.18 A^3/atom
offset from the most stable computed form: 0 meV/atom


(14)
Here is a geometry-optimized LaPm2Tm12 structure from the Alexandria database. Energies are from PBE-GGA.

The structure in extended XYZ format:
```
30
Lattice="6.422 1.470 0.533 1.470 6.422 -0.533 1.202 -1.202 24.473" Properties=species:S:1:pos:R:3 pbc="T T T"
Tm 6.879 1.013 20.163
Tm 2.215 5.678 4.310
Tm 3.788 4.102 13.395
Tm 6.246 1.643 2.162
Tm 2.830 5.064 10.544
Tm 3.011 0.935 14.052
Tm 1.617 2.329 3.280
Tm 7.477 4.362 21.189
Tm 5.304 2.587 11.078
Tm 6.084 5.755 10.420
Tm 4.403 3.489 19.630
Tm 4.690 3.201 4.843
Tm 6.956 4.882 14.053
Pm 7.831 4.008 17.768
Tm 6.266 1.628 13.928
Tm 5.324 2.572 22.844
Tm 7.215 0.678 16.895
Tm 4.355 3.537 8.111
Tm 2.136 1.810 10.420
Tm 1.879 6.013 7.577
Tm 4.739 3.153 16.362
Tm 3.773 4.122 1.629
Tm 5.563 6.275 3.284
La 1.938 2.008 24.206
Tm 2.845 5.045 22.311
La 3.210 0.736 0.267
Pm 1.263 2.683 6.701
Tm 3.530 0.416 21.193
Pm 5.209 6.629 6.705
Pm 3.885 0.062 17.772
```

Results
calculated volume: 31.54 A^3/atom
final energy: -4.4329 eV/atom


(15)
Here is a geometry-optimized La6Pm5Tm2 structure from the Alexandria database. Energies are from PBE-GGA.

The structure in extended XYZ format:
```
26
Lattice="3.594 0.000 0.000 0.000 11.235 0.000 0.000 0.000 23.056" Properties=species:S:1:pos:R:3 pbc="T T T"
La 0.000 0.346 2.574
La 0.000 1.523 8.842
Tm 0.000 7.468 16.765
Pm 1.797 0.967 5.710
Tm 0.000 1.851 17.819
La 1.797 1.855 14.669
Pm 1.797 6.585 5.818
La 1.797 3.762 3.140
Tm 0.000 9.384 5.237
La 0.000 10.889 20.483
La 0.000 5.963 8.954
Tm 0.000 3.767 6.291
La 0.000 9.712 14.215
Pm 1.797 10.267 17.346
La 1.797 7.473 19.916
Pm 1.797 4.650 17.238
Pm 1.797 1.862 22.876
La 0.000 4.095 20.370
Pm 1.797 9.373 0.180
La 1.797 9.380 8.388
La 0.000 7.140 2.686
Pm 1.797 5.617 0.000
Pm 1.797 3.756 11.348
Pm 1.797 7.479 11.708
La 0.000 5.272 14.102
Pm 1.797 0.000 11.528
```

Results
calculated volume: 35.81 A^3/atom
final energy: -4.6491 eV/atom


(16)
Here is a geometry-optimized La2Pm2Tm15 structure from the Alexandria database. Energies are from PBE-GGA.

The structure in extended XYZ format:
```
19
Lattice="-8.622 -0.211 -0.847 -2.052 -3.625 7.600 -2.007 7.158 4.454" Properties=species:S:1:pos:R:3 pbc="T T T"
Tm -4.311 -0.106 -0.424
Pm -8.403 2.201 7.427
Tm -6.605 -1.260 1.747
Tm -8.760 1.105 3.662
Tm -1.003 3.579 2.227
Tm -7.108 -1.334 4.990
Tm -1.026 -1.813 3.800
La -1.523 0.399 1.346
Tm -6.591 2.052 0.781
Tm -4.069 -2.577 5.006
Tm -2.038 -0.314 6.634
Pm -4.277 1.120 3.780
Tm -2.020 3.847 5.420
Tm -3.921 2.217 7.545
Tm -5.594 -0.540 7.732
Tm -5.572 4.655 6.216
Tm -7.087 3.862 3.475
La -11.157 2.923 9.861
Tm -4.038 4.895 2.826
```

Results
calculated volume: 33.06 A^3/atom
final energy: -4.2764 eV/atom


(17)
Here is a geometry-optimized La2Pm5Tm3 structure from the Alexandria database. Energies are from PBE-GGA.

The structure in extended XYZ format:
```
20
Lattice="-4.655 7.704 3.242 -9.455 -1.688 0.313 7.785 -5.710 5.693" Properties=species:S:1:pos:R:3 pbc="T T T"
Pm 2.687 -1.611 5.717
Pm -5.557 -0.159 4.395
Pm -0.482 -0.601 7.795
Tm -2.871 -5.338 6.442
Tm -5.913 3.505 3.878
La -8.356 -1.405 2.422
La 2.030 1.711 6.825
Tm -0.413 -3.200 5.369
Pm -2.435 -0.994 1.835
Tm -5.522 -2.631 1.620
Pm -0.769 0.464 4.852
Pm -9.013 1.916 3.531
Pm -5.844 0.906 1.453
Tm -3.455 5.643 2.805
Pm -3.170 -4.228 3.377
Pm -3.891 1.299 7.412
Pm -3.156 4.534 5.871
La -3.064 2.227 3.220
Tm -0.804 2.936 7.627
La -3.261 -1.922 6.027
```

Results
calculated volume: 34.38 A^3/atom
final energy: -4.5175 eV/atom


(18)
Here is a geometry-optimized La5Pm4Tm2 structure from the Alexandria database. Energies are from PBE-GGA.

The structure in extended XYZ format:
```
11
Lattice="-0.202 2.701 2.430 -11.080 2.682 -3.900 -4.067 -6.688 4.371" Properties=species:S:1:pos:R:3 pbc="T T T"
Pm -8.148 1.321 -2.144
La -6.353 -1.884 1.567
Tm -9.688 -2.847 2.360
Pm -7.200 -2.626 5.045
Tm -5.660 1.542 0.541
Pm -12.284 -0.385 2.133
Pm -3.064 -0.920 0.768
La -11.543 0.356 -1.354
La -8.996 0.579 1.334
La -3.805 -1.662 4.255
La -0.101 1.350 1.215
```

Results
calculated volume: 34.83 A^3/atom
offset from the most stable computed form: 0 meV/atom